[1]
CeInGaBr6 | the Alexandria database | PBE | optimized geometry; total DFT energy (no corrections) = -64.43 eV/cell; density of states at the Fermi level = 2.04 states/eV/cell
1.0
7.210 0.000 0.000
0.000 7.210 0.000
0.000 0.000 13.535
Ce In Ga Br
2 2 2 12
Cartesian
0.000 0.000 0.000
3.605 3.605 6.768
0.000 0.000 8.992
3.605 3.605 2.225
0.000 0.000 4.446
3.605 3.605 11.214
1.323 1.323 2.131
1.379 1.379 11.492
1.624 1.624 6.710
1.981 5.229 13.477
2.226 4.984 4.725
2.282 4.928 8.899
4.928 2.282 8.899
4.984 2.226 4.725
5.229 1.981 13.477
5.586 5.586 6.710
5.832 5.832 11.492
5.887 5.887 2.131

[2]
KAgS2 | the Alexandria database | PBE | optimized geometry; density of states at the Fermi level = 4.05 states/eV/cell; excess energy over the best structure of this formula in the dataset = 0.517 eV per atom
1.0
1.957 1.130 8.399
-1.957 1.130 8.399
0.000 -2.260 8.399
K Ag S
1 1 2
Cartesian
0.000 0.000 0.000
0.000 0.000 12.598
0.000 0.000 2.922
0.000 0.000 22.274

[3]
KYSb2 | the Alexandria database | PBE | optimized geometry; density of states at the Fermi level = 1.83 states/eV/cell; excess energy over the best structure of this formula in the dataset = 0.210 eV per atom
1.0
6.256 -1.782 0.000
6.256 1.782 0.000
-0.806 0.000 5.530
K Y Sb
1 1 2
Cartesian
0.000 0.000 0.000
8.818 0.000 3.094
3.207 0.000 0.381
5.296 0.000 2.665

[4]
Ba6RhAu2 | the Alexandria database | PBE | optimized geometry; total DFT energy (no corrections) = -58.66 eV/cell; density of states at the Fermi level = 12.54 states/eV/cell
1.0
7.888 0.000 0.000
0.000 8.560 0.000
-6.822 0.000 11.745
Ba Rh Au
12 2 4
Cartesian
-1.012 0.468 2.806
-4.423 3.812 8.678
1.392 5.930 0.931
-2.019 6.910 6.803
2.549 1.523 0.715
-0.862 2.757 6.587
1.928 5.803 5.158
-1.483 7.037 11.030
3.085 1.650 4.941
-0.326 2.630 10.814
5.489 4.748 3.066
2.078 8.092 8.939
0.000 0.000 0.000
-3.411 4.280 5.872
-2.701 0.939 9.080
0.710 3.341 3.208
0.356 5.219 8.537
3.767 7.621 2.665

> Look up the density of states at the Fermi level of the third one.

1.83 states/eV/cell

> Look up the density of states at the Fermi level of the first one.

2.04 states/eV/cell

Repeat the third record exactly.
KYSb2 | the Alexandria database | PBE | optimized geometry; density of states at the Fermi level = 1.83 states/eV/cell; excess energy over the best structure of this formula in the dataset = 0.210 eV per atom
1.0
6.256 -1.782 0.000
6.256 1.782 0.000
-0.806 0.000 5.530
K Y Sb
1 1 2
Cartesian
0.000 0.000 0.000
8.818 0.000 3.094
3.207 0.000 0.381
5.296 0.000 2.665

> Which of these has the highest density of states at the Fermi level?

Ba6RhAu2